{"formula": "KMn2TcGe", "functional": "PBE", "state": "optimized geometry", "lattice_angstrom": [[4.8074, 0.0000, 0.0000], [0.0000, 4.8074, 0.0000], [0.0000, 0.0000, 5.9327]], "species": ["K", "Mn", "Mn", "Tc", "Ge"], "frac_coords": [[0.0000, 0.0000, 0.0000], [0.0000, 0.5000, 0.5000], [0.5000, 0.0000, 0.5000], [0.0000, 0.0000, 0.5000], [0.5000, 0.5000, 0.0000]], "m_tot_mub_per_cell": 5.5, "dos_at_fermi_per_ev_fu": 6.4, "density_g_cm3": 3.9, "e_form_ev_per_atom": 1.435}

=====

{"formula": "WBr4", "functional": "PBE", "state": "optimized geometry", "lattice_angstrom": [[5.0654, 0.0000, 0.0000], [0.0000, 5.0654, 0.0000], [0.0000, 0.0000, 5.0654]], "species": ["W", "Br", "Br", "Br", "Br"], "frac_coords": [[0.0000, 0.0000, 0.0000], [0.0000, 0.0000, 0.5000], [0.0000, 0.5000, 0.0000], [0.5000, 0.0000, 0.0000], [0.5000, 0.5000, 0.5000]], "m_tot_mub_per_cell": 0.5, "dos_at_fermi_per_ev_fu": 4.4, "density_g_cm3": 6.4, "e_form_raw_ev_per_atom": 0.225}

=====

{"formula": "ErCd2", "functional": "PBE", "state": "optimized geometry", "lattice_angstrom": [[3.1094, -2.6577, 0.0000], [3.1094, 2.6577, 0.0000], [-1.8295, 0.0000, 4.5344]], "species": ["Er", "Cd", "Cd"], "frac_coords": [[0.0000, 0.0000, 0.0000], [0.3471, 0.3471, 0.6620], [0.6529, 0.6529, 0.3380]], "m_tot_mub_per_cell": 0.0, "dos_at_fermi_per_ev_fu": 1.4, "density_g_cm3": 8.7, "e_form_ev_per_atom": -0.161}

=====

{"formula": "ReAgS2N", "functional": "PBE", "state": "optimized geometry", "lattice_angstrom": [[4.9234, 0.0000, 0.0000], [0.0000, 4.9234, 0.0000], [0.0000, 0.0000, 3.8866]], "species": ["Re", "Ag", "S", "S", "N"], "frac_coords": [[0.0000, 0.0000, 0.0000], [0.5000, 0.5000, 0.5000], [0.0000, 0.5000, 0.5000], [0.5000, 0.0000, 0.5000], [0.5000, 0.5000, 0.0000]], "m_tot_mub_per_cell": 5.8, "dos_at_fermi_per_ev_fu": 1.7, "density_g_cm3": 6.6, "polymorph_energy_mev_per_atom": 1679, "e_form_raw_ev_per_atom": 2.017}

=====

{"formula": "Ta2SiCl", "functional": "PBE", "state": "optimized geometry", "lattice_angstrom": [[2.8669, 0.0000, 0.0000], [0.0000, 2.8669, 0.0000], [0.0000, 0.0000, 9.6346]], "species": ["Ta", "Ta", "Si", "Cl"], "frac_coords": [[0.0000, 0.0000, 0.0000], [0.5000, 0.5000, 0.2321], [0.5000, 0.5000, 0.7872], [0.0000, 0.0000, 0.4126]], "m_tot_mub_per_cell": 0.0, "dos_at_fermi_per_ev_fu": 2.1, "density_g_cm3": 8.9, "polymorph_energy_mev_per_atom": 56, "e_form_raw_ev_per_atom": -0.035}

=====

{"formula": "MnIn2Tc", "functional": "PBE", "state": "optimized geometry", "lattice_angstrom": [[-1.6298, 2.2895, 4.8157], [1.6298, -2.2895, 4.8157], [1.6298, 2.2895, -4.8157]], "species": ["Mn", "In", "In", "Tc"], "frac_coords": [[0.0000, 0.0000, 0.0000], [0.4607, 0.4607, 0.0000], [0.7369, 0.2369, 0.5000], [0.2048, 0.7048, 0.5000]], "m_tot_mub_per_cell": 3.5, "dos_at_fermi_per_ev_fu": 2.4, "density_g_cm3": 8.8, "e_form_ev_per_atom": 0.254, "polymorph_energy_mev_per_atom": 59}

=====

{"formula": "Ac4As3", "functional": "PBE", "state": "optimized geometry", "lattice_angstrom": [[2.6632, 1.5376, 9.2751], [-2.6632, 1.5376, 9.2751], [0.0000, -3.0752, 9.2751]], "species": ["Ac", "Ac", "Ac", "Ac", "As", "As", "As"], "frac_coords": [[0.1209, 0.1209, 0.1209], [0.3720, 0.3720, 0.3720], [0.6280, 0.6280, 0.6280], [0.8791, 0.8791, 0.8791], [0.0000, 0.0000, 0.0000], [0.2400, 0.2400, 0.2400], [0.7600, 0.7600, 0.7600]], "m_tot_mub_per_cell": 0.0, "dos_at_fermi_per_ev_fu": 5.1, "density_g_cm3": 8.3, "e_form_ev_per_atom": -1.015}

=====

{"formula": "PuPa2Ru", "functional": "PBE", "state": "optimized geometry", "lattice_angstrom": [[1.7814, 1.0285, 7.2604], [-1.7814, 1.0285, 7.2604], [0.0000, -2.0569, 7.2604]], "species": ["Pu", "Pa", "Pa", "Ru"], "frac_coords": [[0.0000, 0.0000, 0.0000], [0.2553, 0.2553, 0.2553], [0.7447, 0.7447, 0.7447], [0.5000, 0.5000, 0.5000]], "m_tot_mub_per_cell": 0.0, "dos_at_fermi_per_ev_fu": 6.0, "density_g_cm3": 16.8, "e_form_ev_per_atom": 0.206, "polymorph_energy_mev_per_atom": 365}

=====

{"formula": "K2InS2", "functional": "PBE", "state": "optimized geometry", "lattice_angstrom": [[-2.8535, 2.8535, 5.0892], [2.8535, -2.8535, 5.0892], [2.8535, 2.8535, -5.0892]], "species": ["K", "K", "In", "S", "S"], "frac_coords": [[0.1544, 0.1544, 0.0000], [0.8456, 0.8456, 0.0000], [0.5000, 0.5000, 0.0000], [0.2500, 0.7500, 0.5000], [0.7500, 0.2500, 0.5000]], "m_tot_mub_per_cell": 1.0, "dos_at_fermi_per_ev_fu": 4.1, "density_g_cm3": 2.6, "polymorph_energy_mev_per_atom": 598, "e_form_raw_ev_per_atom": -0.273}

=====

{"formula": "Sc4ReTc", "functional": "PBE", "state": "optimized geometry", "lattice_angstrom": [[0.0000, 3.8221, 3.8221], [3.8221, 0.0000, 3.8221], [3.8221, 3.8221, 0.0000]], "species": ["Sc", "Sc", "Sc", "Sc", "Re", "Tc"], "frac_coords": [[0.1252, 0.1252, 0.1252], [0.1252, 0.1252, 0.6243], [0.1252, 0.6243, 0.1252], [0.6243, 0.1252, 0.1252], [0.5000, 0.5000, 0.5000], [0.7500, 0.7500, 0.7500]], "m_tot_mub_per_cell": 0.0, "dos_at_fermi_per_ev_fu": 8.3, "density_g_cm3": 6.9, "e_form_ev_per_atom": 0.673}

=====

{"formula": "RbCdIn2Ir", "functional": "PBE", "state": "optimized geometry", "lattice_angstrom": [[5.2226, 0.0000, 0.0000], [0.0000, 5.2226, 0.0000], [0.0000, 0.0000, 5.4207]], "species": ["Rb", "Cd", "In", "In", "Ir"], "frac_coords": [[0.0000, 0.0000, 0.0000], [0.5000, 0.5000, 0.0000], [0.0000, 0.5000, 0.5000], [0.5000, 0.0000, 0.5000], [0.5000, 0.5000, 0.5000]], "m_tot_mub_per_cell": 0.0, "dos_at_fermi_per_ev_fu": 1.2, "density_g_cm3": 7.0, "e_form_ev_per_atom": -0.174}

=====

{"formula": "Pm2Nd4DyMg", "functional": "PBE", "state": "optimized geometry", "lattice_angstrom": [[5.0855, 0.0000, 0.0000], [0.0000, 5.0855, 0.0000], [0.0000, 0.0000, 10.1975]], "species": ["Pm", "Pm", "Nd", "Nd", "Nd", "Nd", "Dy", "Mg"], "frac_coords": [[0.0000, 0.0000, 0.0000], [0.5000, 0.5000, 0.5000], [0.0000, 0.5000, 0.2472], [0.0000, 0.5000, 0.7528], [0.5000, 0.0000, 0.2472], [0.5000, 0.0000, 0.7528], [0.0000, 0.0000, 0.5000], [0.5000, 0.5000, 0.0000]], "m_tot_mub_per_cell": 0.0, "dos_at_fermi_per_ev_fu": 10.8, "density_g_cm3": 6.6, "e_form_ev_per_atom": 0.007}